DFT (PBE-GGA) results for a geometry-optimized Y8Er2Sc3 structure.

```
Y8Er2Sc3
1.0
5.446 0.317 -0.937
-0.914 6.877 -2.984
1.737 0.551 10.295
Y Er Sc
8 2 3
Cartesian
6.293 2.968 4.913 Y
-0.025 4.777 1.461 Y
0.499 6.415 5.076 Y
5.770 1.330 1.298 Y
2.335 5.849 -0.799 Y
2.718 2.965 0.452 Y
3.550 4.780 5.922 Y
3.933 1.896 7.173 Y
2.936 5.675 2.625 Er
3.333 2.070 3.749 Er
2.723 0.158 -0.469 Sc
-0.267 2.007 -0.871 Sc
-0.647 4.870 -2.113 Sc
```

energy relative to the elements: 3.04 eV/f.u.
space-group type: C2/m (12)

DFT (PBE-GGA) results for a geometry-optimized Y2Er7Sc structure.

```
Y2Er7Sc
1.0
-5.069 7.329 -3.925
-0.029 3.517 -9.080
-3.753 -3.267 -1.253
Y Er Sc
2 7 1
Cartesian
-3.233 1.253 -4.088 Y
-5.618 6.327 -10.171 Y
-2.055 4.371 -5.241 Er
-3.044 6.476 -7.764 Er
-3.355 3.660 -9.996 Er
-5.496 3.920 -4.263 Er
-2.363 1.550 -7.467 Er
-6.488 6.030 -6.792 Er
-4.426 3.790 -7.129 Er
0.000 0.000 0.000 Sc
```

energy relative to the elements: 6.76 eV/f.u.
space-group type: Cmmm (65)

DFT (PBE-GGA) results for a geometry-optimized Y5Er5Sc2 structure.

```
Y5Er5Sc2
1.0
5.507 0.000 0.000
-2.754 5.877 -0.318
0.000 -3.028 11.392
Y Er Sc
5 5 2
Cartesian
0.000 0.687 6.086 Y
2.754 0.676 8.393 Y
0.000 2.173 2.681 Y
2.754 2.162 4.988 Y
0.000 0.000 0.000 Y
2.754 -1.514 5.696 Er
2.754 2.273 0.405 Er
2.754 -0.238 2.433 Er
0.000 3.087 8.641 Er
0.000 0.575 10.668 Er
0.000 -1.716 8.105 Sc
2.754 4.565 2.969 Sc
```

energy relative to the elements: 0.85 eV/f.u.
space-group type: C2/m (12)

DFT (PBE-GGA) results for a geometry-optimized Y8Er2Sc3 structure.

```
Y8Er2Sc3
1.0
6.544 0.000 0.661
0.000 8.769 0.000
-1.817 -4.385 7.071
Y Er Sc
8 2 3
Cartesian
5.468 4.385 1.825 Y
-0.741 0.000 5.907 Y
4.504 0.000 3.250 Y
0.224 4.385 4.482 Y
2.331 1.611 5.880 Y
2.331 -1.611 5.880 Y
2.396 5.995 1.852 Y
2.396 2.774 1.852 Y
1.154 0.000 3.004 Er
3.573 4.385 4.728 Er
3.272 0.000 0.330 Sc
0.000 1.430 0.000 Sc
0.000 7.339 0.000 Sc
```

energy relative to the elements: 3.32 eV/f.u.
space-group type: C2/m (12)

no.,energy (eV per cell),density (g/cm³)
1,-76.8,4.811
2,-44.4,6.254
3,-66.9,6.264
4,-76.5,4.709